# 1
Density functional theory data (PBE-GGA) for a geometry-optimized CeF5 structure.

Unit cell a=3.556 b=5.389 c=5.383 alpha=62.90 beta=70.71 gamma=70.74
Each line ends with the local moment (μB).
Sites, in units of the cell vectors:
1 Ce 0.637 0.058 0.668  -0.03
2 F 0.039 0.943 0.979  0.06
3 F 0.741 0.570 0.949  0.45
4 F 0.368 0.346 0.919  0.43
5 F 0.311 0.884 0.493  0.01
6 F 0.071 0.366 0.492  0.01

Calculated values
* space-group type: Cm
* E_form (uncorrected): -17.1 eV/f.u.

# 2
Density functional theory data (PBE-GGA) for a geometry-optimized CeF4 structure.

Unit cell a=8.361 b=8.361 c=8.380 alpha=63.28 beta=63.28 gamma=80.12
Sites, in units of the cell vectors:
1 Ce 0.369 0.224 0.329
2 Ce 0.776 0.631 0.171
3 Ce 0.631 0.776 0.671
4 Ce 0.224 0.369 0.829
5 Ce 0.212 0.788 0.250
6 Ce 0.788 0.212 0.750
7 F 0.602 0.398 0.250
8 F 0.398 0.602 0.750
9 F 0.496 0.740 0.217
10 F 0.260 0.504 0.283
11 F 0.504 0.260 0.783
12 F 0.740 0.496 0.717
13 F 0.273 0.971 0.350
14 F 0.029 0.727 0.150
15 F 0.727 0.029 0.650
16 F 0.971 0.273 0.850
17 F 0.500 0.000 0.500
18 F 0.000 0.500 0.000
19 F 0.177 0.065 0.044
20 F 0.935 0.823 0.456
21 F 0.823 0.935 0.956
22 F 0.065 0.177 0.544
23 F 0.595 0.187 0.074
24 F 0.813 0.405 0.426
25 F 0.405 0.813 0.926
26 F 0.187 0.595 0.574
27 F 0.260 0.318 0.105
28 F 0.682 0.740 0.395
29 F 0.740 0.682 0.895
30 F 0.318 0.260 0.605

Calculated values
* space-group type: C2/c
* E_form (uncorrected): -18.6 eV/f.u.

# 3
Density functional theory data (PBE-GGA) for a geometry-optimized Ce2F5 structure.

Unit cell a=4.731 b=6.975 c=7.025 alpha=99.36 beta=109.68 gamma=90.00
Each line ends with the local moment (μB).
Sites, in units of the cell vectors:
1 Ce 0.196 0.415 0.779  1.36
2 Ce 0.417 0.085 0.221  1.36
3 Ce 0.804 0.585 0.221  1.36
4 Ce 0.583 0.915 0.779  1.36
5 F 0.255 0.432 0.168  0.00
6 F 0.087 0.068 0.832  0.00
7 F 0.176 0.667 0.565  -0.01
8 F 0.611 0.833 0.435  -0.01
9 F 0.824 0.333 0.435  -0.01
10 F 0.389 0.167 0.565  -0.01
11 F 0.913 0.932 0.168  0.00
12 F 0.745 0.568 0.832  0.00
13 F 0.643 0.250 0.000  0.00
14 F 0.357 0.750 0.000  0.00

Calculated values
* space-group type: C2/c
* E_form (uncorrected): -26.1 eV/f.u.

# 4
Density functional theory data (PBE-GGA) for a geometry-optimized Ce3F8 structure.

Unit cell a=5.800 b=5.800 c=5.800 alpha=90.00 beta=90.00 gamma=90.00
Each line ends with the local moment (μB).
Sites, in units of the cell vectors:
1 Ce 0.000 0.500 0.500  1.25
2 Ce 0.500 0.000 0.500  1.25
3 Ce 0.500 0.500 0.000  1.25
4 F 0.737 0.263 0.737  0.00
5 F 0.737 0.737 0.263  0.00
6 F 0.263 0.737 0.737  0.00
7 F 0.737 0.737 0.737  0.00
8 F 0.263 0.263 0.263  0.00
9 F 0.737 0.263 0.263  0.00
10 F 0.263 0.263 0.737  0.00
11 F 0.263 0.737 0.263  0.00

Calculated values
* space-group type: Pm-3m
* E_form (uncorrected): -41.9 eV/f.u.